Here is a relaxed Mn2AgSnGe crystal from Alexandria via LeMat-Bulk. Energies are from PBE-GGA.

Calculated values
DOS at the Fermi energy in states/eV/f.u.: 2.270
Total magnetic moment in μB per cell: 7.37
Energy of formation in eV per atom: 0.504
SG: P4/mmm

Cell: 4.828 4.828 5.017 Å, 90.00 90.00 90.00°
Sites, in units of the cell vectors:
Mn 0.000 0.500 0.000
Mn 0.500 0.000 0.000
Ag 0.000 0.000 0.500
Sn 0.500 0.500 0.500
Ge 0.000 0.000 0.000

---

Here is a relaxed LaTcP2 crystal from Alexandria via LeMat-Bulk. Energies are from PBE-GGA.

Calculated values
DOS at the Fermi energy in states/eV/f.u.: 5.466
Total magnetic moment in μB per cell: 0.00
Energy of formation in eV per atom: 0.193
Distance to the lowest polymorph of the same formula in meV per atom: 1105
SG: F-43m

Cell: 6.636 6.636 6.636 Å, 90.00 90.00 90.00°
Sites, in units of the cell vectors:
La 0.000 0.000 0.000
La 0.000 0.500 0.500
La 0.500 0.000 0.500
La 0.500 0.500 0.000
Tc 0.250 0.250 0.750
Tc 0.250 0.750 0.250
Tc 0.750 0.250 0.250
Tc 0.750 0.750 0.750
P 0.000 0.000 0.500
P 0.000 0.500 0.000
P 0.250 0.250 0.250
P 0.250 0.750 0.750
P 0.500 0.000 0.000
P 0.500 0.500 0.500
P 0.750 0.250 0.750
P 0.750 0.750 0.250

---

Here is a relaxed CsK3 crystal from Alexandria via LeMat-Bulk. Energies are from PBE-GGA.

Calculated values
DOS at the Fermi energy in states/eV/f.u.: 4.139
Total magnetic moment in μB per cell: 0.00
Energy of formation in eV per atom: 0.011
SG: Fm-3m

Cell: 10.926 10.926 10.926 Å, 90.00 90.00 90.00°
Sites, in units of the cell vectors:
Cs 0.000 0.000 0.000
Cs 0.000 0.500 0.500
Cs 0.500 0.000 0.500
Cs 0.500 0.500 0.000
K 0.000 0.000 0.500
K 0.000 0.500 0.000
K 0.250 0.250 0.250
K 0.250 0.250 0.750
K 0.250 0.750 0.250
K 0.250 0.750 0.750
K 0.500 0.000 0.000
K 0.500 0.500 0.500
K 0.750 0.250 0.250
K 0.750 0.250 0.750
K 0.750 0.750 0.250
K 0.750 0.750 0.750

---

Here is a relaxed Ac3PmNd12 crystal from Alexandria via LeMat-Bulk. Energies are from PBE-GGA.

Calculated values
DOS at the Fermi energy in states/eV/f.u.: 26.425
Total magnetic moment in μB per cell: 0.00
Energy of formation in eV per atom: 0.021
SG: P4/mmm

Cell: 5.283 5.283 21.097 Å, 90.00 90.00 90.00°
Sites, in units of the cell vectors:
Ac 0.000 0.000 0.000
Ac 0.000 0.000 0.252
Ac 0.000 0.000 0.748
Pm 0.000 0.000 0.500
Nd 0.000 0.500 0.126
Nd 0.000 0.500 0.379
Nd 0.000 0.500 0.621
Nd 0.000 0.500 0.874
Nd 0.500 0.000 0.126
Nd 0.500 0.000 0.379
Nd 0.500 0.000 0.621
Nd 0.500 0.000 0.874
Nd 0.500 0.500 0.000
Nd 0.500 0.500 0.253
Nd 0.500 0.500 0.500
Nd 0.500 0.500 0.747

---

Here is a relaxed Ho6TmMg crystal from Alexandria via LeMat-Bulk. Energies are from PBE-GGA.

Calculated values
DOS at the Fermi energy in states/eV/f.u.: 12.712
Total magnetic moment in μB per cell: 0.00
Energy of formation in eV per atom: 0.139
Distance to the lowest polymorph of the same formula in meV per atom: 101
SG: P-1

Cell: 6.295 6.295 6.299 Å, 95.60 95.50 95.61°
Sites, in units of the cell vectors:
Ho 0.019 0.247 0.456
Ho 0.253 0.043 0.981
Ho 0.457 0.519 0.747
Ho 0.543 0.481 0.253
Ho 0.747 0.957 0.019
Ho 0.981 0.753 0.544
Tm 0.000 0.500 0.000
Mg 0.500 0.000 0.500

---

Here is a relaxed Pm2MgTe crystal from Alexandria via LeMat-Bulk. Energies are from PBE-GGA.

Calculated values
DOS at the Fermi energy in states/eV/f.u.: 2.611
Total magnetic moment in μB per cell: 0.00
Formation energy without anion corrections in meV/atom: -629
Distance to the lowest polymorph of the same formula in meV per atom: 41
SG: R-3m

Cell: 4.237 4.237 24.777 Å, 90.00 90.00 120.00°
Sites, in units of the cell vectors:
Pm 0.000 0.000 0.244
Pm 0.000 0.000 0.756
Pm 0.333 0.667 0.423
Pm 0.333 0.667 0.910
Pm 0.667 0.333 0.090
Pm 0.667 0.333 0.577
Mg 0.000 0.000 0.000
Mg 0.333 0.667 0.667
Mg 0.667 0.333 0.333
Te 0.000 0.000 0.500
Te 0.333 0.667 0.167
Te 0.667 0.333 0.833

---

Here is a relaxed Zr2NiTePt crystal from Alexandria via LeMat-Bulk. Energies are from PBE-GGA.

Calculated values
DOS at the Fermi energy in states/eV/f.u.: 2.170
Total magnetic moment in μB per cell: 0.00
Formation energy without anion corrections in meV/atom: 582
SG: P4/mmm

Cell: 5.261 5.261 4.403 Å, 90.00 90.00 90.00°
Sites, in units of the cell vectors:
Zr 0.000 0.500 0.000
Zr 0.500 0.000 0.000
Ni 0.000 0.000 0.500
Te 0.000 0.000 0.000
Pt 0.500 0.500 0.500

---

Here is a relaxed Pr2Ho8Tl crystal from Alexandria via LeMat-Bulk. Energies are from PBE-GGA.

Calculated values
DOS at the Fermi energy in states/eV/f.u.: 15.159
Total magnetic moment in μB per cell: 0.00
Energy of formation in eV per atom: -0.027
SG: C2/m

Cell: 9.384 9.384 7.887 Å, 104.71 104.71 30.65°
Sites, in units of the cell vectors:
Pr 0.221 0.221 0.135
Pr 0.779 0.779 0.865
Ho 0.044 0.044 0.223
Ho 0.134 0.134 0.674
Ho 0.320 0.320 0.591
Ho 0.412 0.412 0.057
Ho 0.588 0.588 0.943
Ho 0.680 0.680 0.409
Ho 0.866 0.866 0.326
Ho 0.956 0.956 0.777
Tl 0.500 0.500 0.500